Entry 1:
The following is a DFT calculation (PBE-GGA) of crystalline Zr2NiC at its relaxed geometry.

Summary:
DFT formation energy   -0.064 eV/atom
Volume   270.5 Å³/cell
Crystal system   tetragonal
Magnetic moment   0.0 μB/f.u.
DOS at the Fermi energy   8.01 states/eV per cell

Cell lengths 6.2345, 6.2345, 6.9605 Å; angles 90.00, 90.00, 90.00 degrees
With the nearest neighbours (Å) after each atom.
Space group I-42d (No. 122)
Symmetry-distinct sites (fractional):
Zr 0.2059 0.2500 0.1250 x8  2 C 2.20
Ni 0.0000 0.0000 0.5000 x4  4 Zr 2.56
C 0.0000 0.0000 0.0000 x4  4 Zr 2.20

=====

Entry 2:
The following is a DFT calculation (PBE-GGA) of crystalline ZrNiC3 at its relaxed geometry.

Summary:
ΔE to the lowest computed polymorph   1.092 eV per atom
DFT formation energy   2.537 eV/atom
Volume   78.0 Å³/cell
Crystal system   cubic
Magnetic moment   0.0 μB/f.u.
DOS at the Fermi energy   3.44 states/eV per cell

Cell lengths 4.2731, 4.2731, 4.2731 Å; angles 90.00, 90.00, 90.00 degrees
With the nearest neighbours (Å) after each atom.
Space group Pm-3m (No. 221)
Symmetry-distinct sites (fractional):
Zr 0.0000 0.0000 0.0000 x1  6 C 2.14
Ni 0.5000 0.5000 0.5000 x1  12 C 3.02
C 0.0000 0.0000 0.5000 x3  2 Zr 2.14

=====

- The lowest DFT formation energy belongs to which entry?
  Zr2NiC